Record 1
First-principles (PBE-GGA) data for TmThAl after structural relaxation, as listed in Alexandria.

Lattice parameters (Å, degrees): 5.022 5.022 7.270 90.00 90.00 60.00
Atoms (fractional coordinates):
Tm: 0.667 0.667 0.102
Tm: 0.333 0.333 0.898
Th: 0.667 0.667 0.612
Th: 0.333 0.333 0.388
Al: 0.000 0.000 0.797
Al: 0.000 0.000 0.203

## Properties
Energy of formation ... -0.0624 eV per atom
Fermi-level density of states ... 0.941 states/eV/atom
Density ... 8.95 g/cm3
Volume ... 26.47 A^3/atom
Uncorrected energy ... -5.2737 eV per atom
Total magnetization ... 0.0 μB/cell
Offset from the most stable computed form ... 0.33 eV per formula unit

---

Record 2
First-principles (PBE-GGA) data for TmThAl4 after structural relaxation, as listed in Alexandria.

Lattice parameters (Å, degrees): 4.584 5.818 5.818 75.51 66.80 66.80
Atoms (fractional coordinates):
Tm: 0.000 0.500 0.500
Th: 0.000 0.000 0.000
Al: 0.666 0.577 0.091
Al: 0.334 0.909 0.423
Al: 0.334 0.423 0.909
Al: 0.666 0.091 0.577

## Properties
Energy of formation ... -0.4275 eV per atom
Fermi-level density of states ... 0.243 states/eV/atom
Density ... 6.49 g/cm3
Volume ... 21.71 A^3/atom
Uncorrected energy ... -4.9044 eV per atom
Total magnetization ... 0.0 μB/cell
Offset from the most stable computed form ... 0.11 eV per formula unit

---

Record 3
First-principles (PBE-GGA) data for Tm4ThAl after structural relaxation, as listed in Alexandria.

Lattice parameters (Å, degrees): 3.523 3.523 13.659 90.00 90.00 90.00
Atoms (fractional coordinates):
Tm: 0.500 0.500 0.178
Tm: 0.000 0.000 0.635
Tm: 0.000 0.000 0.365
Tm: 0.500 0.500 0.822
Th: 0.000 0.000 0.000
Al: 0.500 0.500 0.500

## Properties
Energy of formation ... -0.1240 eV per atom
Fermi-level density of states ... 0.927 states/eV/atom
Density ... 9.15 g/cm3
Volume ... 28.26 A^3/atom
Uncorrected energy ... -4.9654 eV per atom
Total magnetization ... 0.0 μB/cell

---

Record 4
First-principles (PBE-GGA) data for TmThAl4 after structural relaxation, as listed in Alexandria.

Lattice parameters (Å, degrees): 5.616 5.616 5.616 60.00 60.00 60.00
Atoms (fractional coordinates):
Tm: 0.250 0.250 0.250
Al: 0.625 0.625 0.125
Al: 0.625 0.125 0.625
Al: 0.625 0.625 0.625
Al: 0.125 0.625 0.625
Th: 0.000 0.000 0.000

## Properties
Energy of formation ... -0.4460 eV per atom
Fermi-level density of states ... 0.400 states/eV/atom
Density ... 6.75 g/cm3
Volume ... 20.87 A^3/atom
Uncorrected energy ... -4.9230 eV per atom
Total magnetization ... 0.0 μB/cell
Offset from the most stable computed form ... 0.00 eV per formula unit

---

Question: Which of these has the highest volume?
Answer: Tm4ThAl

---

Question: What is the formula in the first record?
Answer: TmThAl

---

Question: Among the records above, which one has the highest density?
Answer: Tm4ThAl